# Pm4HoTl2 (PBE, relaxed)
data_Pm4HoTl2
_chemical_formula_sum 'Pm8 Ho2 Tl4'
_space_group_name_H-M_alt 'C 1 2/m 1'
_space_group_IT_number 12
_space_group_name_Hall '-C 2y'
_cell_length_a 6.8282
_cell_length_b 10.6295
_cell_length_c 6.2355
_cell_angle_alpha 90.00
_cell_angle_beta 97.66
_cell_angle_gamma 90.00
loop_
_atom_site_label
_atom_site_type_symbol
_atom_site_fract_x
_atom_site_fract_y
_atom_site_fract_z
Pm1 Pm 0.0000 0.2072 0.0000
Pm2 Pm 0.2500 0.2500 0.5000
Ho1 Ho 0.0000 0.0000 0.5000
Tl1 Tl 0.0797 0.5000 0.7678
# Polymorph energy (0 for the lowest one)   50.0 meV per atom
# ΔE_f   0.0810 eV/atom
# Magnetic moment   0.11 μB per cell
# Mass density   8.54 g/cm3
# Electronic total energy   -55.492 eV for the cell shown